# NaCd4Hg6 (PBE, optimized geometry)
data_NaCd4Hg6
_chemical_formula_sum 'Na1 Cd4 Hg6'
_cell_length_a 6.605
_cell_length_b 6.994
_cell_length_c 7.288
_cell_angle_alpha 95.81
_cell_angle_beta 108.13
_cell_angle_gamma 112.51
_space_group_name_H-M_alt 'P 1'
_space_group_IT_number 1
_space_group_name_Hall 'P 1'
loop_
_atom_site_label
_atom_site_type_symbol
_atom_site_fract_x
_atom_site_fract_y
_atom_site_fract_z
_atom_site_occupancy
Na1 Na 0.000 0.000 0.000 1
Cd1 Cd 0.051 0.421 0.305 1
Cd2 Cd 0.142 0.748 0.671 1
Cd3 Cd 0.758 0.677 0.276 1
Cd4 Cd 0.870 0.368 0.790 1
Hg1 Hg 0.078 0.129 0.569 1
Hg2 Hg 0.308 0.727 0.112 1
Hg3 Hg 0.475 0.277 0.387 1
Hg4 Hg 0.531 0.554 0.823 1
Hg5 Hg 0.556 0.140 0.001 1
Hg6 Hg 0.567 0.890 0.563 1
# electronic total energy = -0.6412 eV/atom
# size of the total moment = 0.0 Bohr magnetons per cell
# formation enthalpy at 0 K = -25.4 kJ/mol of formula units
# calculated density = 9.73 g cm⁻³
# ΔE to the lowest computed polymorph = 0.00 kcal/mol of atoms